Run A
This record from Alexandria via LeMat-Bulk describes a geometry-optimized AlSbP structure. The functional is GGA-PBEsol.

Structure (CIF):
```
data_AlSbP
_space_group_name_H-M_alt 'I 4 m m'
_space_group_IT_number 107
_space_group_name_Hall 'I 4 -2'
_cell_length_a 3.423
_cell_length_b 3.423
_cell_length_c 10.618
_cell_angle_alpha 90.00
_cell_angle_beta 90.00
_cell_angle_gamma 90.00
loop_
_atom_site_label
_atom_site_type_symbol
_atom_site_fract_x
_atom_site_fract_y
_atom_site_fract_z
_atom_site_occupancy
Al1 Al 0.000 0.000 0.000 1
Sb1 Sb 0.000 0.000 0.692 1
P1 P 0.000 0.000 0.447 1
```

---

Run B
This record from Alexandria via LeMat-Bulk describes a geometry-optimized AlSbP structure. The functional is GGA-PBEsol.

Structure (CIF):
```
data_AlSbP
_space_group_name_H-M_alt 'F -4 3 m'
_space_group_IT_number 216
_space_group_name_Hall 'F -4 2 3'
_cell_length_a 6.369
_cell_length_b 6.369
_cell_length_c 6.369
_cell_angle_alpha 90.00
_cell_angle_beta 90.00
_cell_angle_gamma 90.00
loop_
_atom_site_label
_atom_site_type_symbol
_atom_site_fract_x
_atom_site_fract_y
_atom_site_fract_z
_atom_site_occupancy
Al1 Al 0.000 0.000 0.000 1
Sb1 Sb 0.000 0.000 0.500 1
P1 P 0.250 0.250 0.750 1
```

---

Most stable: run A. Least stable: run B.

---

Run A
This record from Alexandria via LeMat-Bulk describes a geometry-optimized AlPSe2 structure. The functional is GGA-PBEsol.

Structure (CIF):
```
data_AlPSe2
_space_group_name_H-M_alt 'I 4/m m m'
_space_group_IT_number 139
_space_group_name_Hall '-I 4 2'
_cell_length_a 3.675
_cell_length_b 3.675
_cell_length_c 11.329
_cell_angle_alpha 90.00
_cell_angle_beta 90.00
_cell_angle_gamma 90.00
loop_
_atom_site_label
_atom_site_type_symbol
_atom_site_fract_x
_atom_site_fract_y
_atom_site_fract_z
_atom_site_occupancy
Al1 Al 0.000 0.000 0.000 1
P1 P 0.000 0.000 0.500 1
Se1 Se 0.000 0.500 0.250 1
```

---

Run B
This record from Alexandria via LeMat-Bulk describes a geometry-optimized AlPSe2 structure. The functional is GGA-PBEsol.

Structure (CIF):
```
data_AlPSe2
_space_group_name_H-M_alt 'C m m m'
_space_group_IT_number 65
_space_group_name_Hall '-C 2 2'
_cell_length_a 5.340
_cell_length_b 7.603
_cell_length_c 3.713
_cell_angle_alpha 90.00
_cell_angle_beta 90.00
_cell_angle_gamma 90.00
loop_
_atom_site_label
_atom_site_type_symbol
_atom_site_fract_x
_atom_site_fract_y
_atom_site_fract_z
_atom_site_occupancy
Al1 Al 0.000 0.000 0.000 1
P1 P 0.000 0.500 0.000 1
Se1 Se 0.000 0.244 0.500 1
```

---

Run C
This record from Alexandria via LeMat-Bulk describes a geometry-optimized AlPSe2 structure. The functional is GGA-PBEsol.

Structure (CIF):
```
data_AlPSe2
_space_group_name_H-M_alt 'I m m 2'
_space_group_IT_number 44
_cell_length_a 3.341
_cell_length_b 3.499
_cell_length_c 13.986
_cell_angle_alpha 90.00
_cell_angle_beta 90.00
_cell_angle_gamma 90.00
loop_
_space_group_symop_operation_xyz
'x,y,z'
'-x,-y,z'
'-x,y,z'
'x,-y,z'
'x+1/2,y+1/2,z+1/2'
'-x+1/2,-y+1/2,z+1/2'
'-x+1/2,y+1/2,z+1/2'
'x+1/2,-y+1/2,z+1/2'
loop_
_atom_site_label
_atom_site_type_symbol
_atom_site_fract_x
_atom_site_fract_y
_atom_site_fract_z
_atom_site_occupancy
Al1 Al 0.000 0.000 0.000 1
P1 P 0.000 0.500 0.649 1
Se1 Se 0.000 0.000 0.432 1
Se2 Se 0.000 0.500 0.202 1
```

---

Run D
This record from Alexandria via LeMat-Bulk describes a geometry-optimized AlPSe2 structure. The functional is GGA-PBEsol.

Structure (CIF):
```
data_AlPSe2
_space_group_name_H-M_alt 'F m -3 m'
_space_group_IT_number 225
_space_group_name_Hall '-F 4 2 3'
_cell_length_a 6.499
_cell_length_b 6.499
_cell_length_c 6.499
_cell_angle_alpha 90.00
_cell_angle_beta 90.00
_cell_angle_gamma 90.00
loop_
_atom_site_label
_atom_site_type_symbol
_atom_site_fract_x
_atom_site_fract_y
_atom_site_fract_z
_atom_site_occupancy
Al1 Al 0.000 0.000 0.000 1
P1 P 0.000 0.000 0.500 1
Se1 Se 0.250 0.250 0.250 1
```

---

Most stable: run C. Least stable: run A.

---

Run A
This record from Alexandria via LeMat-Bulk describes a geometry-optimized AlPSe2 structure. The functional is GGA-PBEsol.

Structure (CIF):
```
data_AlPSe2
_space_group_name_H-M_alt 'R -3 m'
_space_group_IT_number 166
_space_group_name_Hall '-R 3 2"'
_cell_length_a 3.8186
_cell_length_b 3.8186
_cell_length_c 18.3011
_cell_angle_alpha 90.00
_cell_angle_beta 90.00
_cell_angle_gamma 120.00
loop_
_atom_site_label
_atom_site_type_symbol
_atom_site_fract_x
_atom_site_fract_y
_atom_site_fract_z
_atom_site_occupancy
Al1 Al 0.0000 0.0000 0.0000 1
P1 P 0.0000 0.0000 0.5000 1
Se1 Se 0.0000 0.0000 0.2502 1
```

---

Run B
This record from Alexandria via LeMat-Bulk describes a geometry-optimized AlPSe2 structure. The functional is GGA-PBEsol.

Structure (CIF):
```
data_AlPSe2
_space_group_name_H-M_alt 'P 1 m 1'
_space_group_IT_number 6
_cell_length_a 4.386
_cell_length_b 3.594
_cell_length_c 5.637
_cell_angle_alpha 90.00
_cell_angle_beta 112.00
_cell_angle_gamma 90.00
loop_
_space_group_symop_operation_xyz
'x,y,z'
'x,-y,z'
loop_
_atom_site_label
_atom_site_type_symbol
_atom_site_fract_x
_atom_site_fract_y
_atom_site_fract_z
_atom_site_occupancy
Al1 Al 0.000 0.000 0.000 1
P1 P 0.428 0.500 0.129 1
Se1 Se 0.580 0.500 0.782 1
Se2 Se 0.863 0.000 0.386 1
```

---

Most stable: run B. Least stable: run A.

---

Run A
This record from Alexandria via LeMat-Bulk describes a geometry-optimized AlSiP structure. The functional is GGA-PBEsol.

Structure (CIF):
```
data_AlSiP
_space_group_name_H-M_alt 'P -6 m 2'
_space_group_IT_number 187
_space_group_name_Hall 'P -6 2'
_cell_length_a 4.3458
_cell_length_b 4.3458
_cell_length_c 2.8032
_cell_angle_alpha 90.00
_cell_angle_beta 90.00
_cell_angle_gamma 120.00
loop_
_atom_site_label
_atom_site_type_symbol
_atom_site_fract_x
_atom_site_fract_y
_atom_site_fract_z
_atom_site_occupancy
Al1 Al 0.0000 0.0000 0.0000 1
Si1 Si 0.6667 0.3333 0.0000 1
P1 P 0.3333 0.6667 0.5000 1
```

---

Run B
This record from Alexandria via LeMat-Bulk describes a geometry-optimized AlSiP structure. The functional is GGA-PBEsol.

Structure (CIF):
```
data_AlSiP
_space_group_name_H-M_alt 'I 4 m m'
_space_group_IT_number 107
_space_group_name_Hall 'I 4 -2'
_cell_length_a 3.071
_cell_length_b 3.071
_cell_length_c 9.376
_cell_angle_alpha 90.00
_cell_angle_beta 90.00
_cell_angle_gamma 90.00
loop_
_atom_site_label
_atom_site_type_symbol
_atom_site_fract_x
_atom_site_fract_y
_atom_site_fract_z
_atom_site_occupancy
Al1 Al 0.000 0.000 0.000 1
Si1 Si 0.000 0.000 0.305 1
P1 P 0.000 0.000 0.678 1
```

---

Most stable: run B. Least stable: run A.

---

Run A
This record from Alexandria via LeMat-Bulk describes a geometry-optimized AlSiP2 structure. The functional is GGA-PBEsol.

Structure (CIF):
```
data_AlSiP2
_space_group_name_H-M_alt 'I -4 2 d'
_space_group_IT_number 122
_space_group_name_Hall 'I -4 2bw'
_cell_length_a 5.372
_cell_length_b 5.372
_cell_length_c 10.560
_cell_angle_alpha 90.00
_cell_angle_beta 90.00
_cell_angle_gamma 90.00
loop_
_atom_site_label
_atom_site_type_symbol
_atom_site_fract_x
_atom_site_fract_y
_atom_site_fract_z
_atom_site_occupancy
Al1 Al 0.000 0.000 0.000 1
Si1 Si 0.000 0.000 0.500 1
P1 P 0.238 0.250 0.625 1
```

---

Run B
This record from Alexandria via LeMat-Bulk describes a geometry-optimized AlSiP2 structure. The functional is GGA-PBEsol.

Structure (CIF):
```
data_AlSiP2
_space_group_name_H-M_alt 'P 4/m m m'
_space_group_IT_number 123
_space_group_name_Hall '-P 4 2'
_cell_length_a 3.024
_cell_length_b 3.024
_cell_length_c 6.206
_cell_angle_alpha 90.00
_cell_angle_beta 90.00
_cell_angle_gamma 90.00
loop_
_atom_site_label
_atom_site_type_symbol
_atom_site_fract_x
_atom_site_fract_y
_atom_site_fract_z
_atom_site_occupancy
Al1 Al 0.000 0.000 0.000 1
Si1 Si 0.000 0.000 0.500 1
P1 P 0.500 0.500 0.260 1
```

---

Run C
This record from Alexandria via LeMat-Bulk describes a geometry-optimized AlSiP2 structure. The functional is GGA-PBEsol.

Structure (CIF):
```
data_AlSiP2
_space_group_name_H-M_alt 'P 4/m m m'
_space_group_IT_number 123
_space_group_name_Hall '-P 4 2'
_cell_length_a 3.517
_cell_length_b 3.517
_cell_length_c 5.013
_cell_angle_alpha 90.00
_cell_angle_beta 90.00
_cell_angle_gamma 90.00
loop_
_atom_site_label
_atom_site_type_symbol
_atom_site_fract_x
_atom_site_fract_y
_atom_site_fract_z
_atom_site_occupancy
Al1 Al 0.000 0.000 0.000 1
Si1 Si 0.500 0.500 0.500 1
P1 P 0.000 0.000 0.500 1
P2 P 0.500 0.500 0.000 1
```

---

Most stable: run C. Least stable: run B.

---

Run A
This record from Alexandria via LeMat-Bulk describes a geometry-optimized AlTl2P structure. The functional is GGA-PBEsol.

Structure (CIF):
```
data_AlTl2P
_space_group_name_H-M_alt 'I 4/m m m'
_space_group_IT_number 139
_space_group_name_Hall '-I 4 2'
_cell_length_a 4.130
_cell_length_b 4.130
_cell_length_c 10.677
_cell_angle_alpha 90.00
_cell_angle_beta 90.00
_cell_angle_gamma 90.00
loop_
_atom_site_label
_atom_site_type_symbol
_atom_site_fract_x
_atom_site_fract_y
_atom_site_fract_z
_atom_site_occupancy
Al1 Al 0.000 0.000 0.000 1
Tl1 Tl 0.000 0.500 0.250 1
P1 P 0.000 0.000 0.500 1
```

---

Run B
This record from Alexandria via LeMat-Bulk describes a geometry-optimized AlTl2P structure. The functional is GGA-PBEsol.

Structure (CIF):
```
data_AlTl2P
_space_group_name_H-M_alt 'I -4 2 d'
_space_group_IT_number 122
_space_group_name_Hall 'I -4 2bw'
_cell_length_a 6.460
_cell_length_b 6.460
_cell_length_c 11.011
_cell_angle_alpha 90.00
_cell_angle_beta 90.00
_cell_angle_gamma 90.00
loop_
_atom_site_label
_atom_site_type_symbol
_atom_site_fract_x
_atom_site_fract_y
_atom_site_fract_z
_atom_site_occupancy
Al1 Al 0.000 0.000 0.000 1
Tl1 Tl 0.235 0.750 0.625 1
P1 P 0.000 0.000 0.500 1
```

---

Run C
This record from Alexandria via LeMat-Bulk describes a geometry-optimized AlTl2P structure. The functional is GGA-PBEsol.

Structure (CIF):
```
data_AlTl2P
_space_group_name_H-M_alt 'C m m m'
_space_group_IT_number 65
_space_group_name_Hall '-C 2 2'
_cell_length_a 3.947
_cell_length_b 4.946
_cell_length_c 9.281
_cell_angle_alpha 90.00
_cell_angle_beta 90.00
_cell_angle_gamma 90.00
loop_
_atom_site_label
_atom_site_type_symbol
_atom_site_fract_x
_atom_site_fract_y
_atom_site_fract_z
_atom_site_occupancy
Al1 Al 0.000 0.000 0.000 1
Tl1 Tl 0.000 0.500 0.268 1
P1 P 0.000 0.000 0.500 1
```

---

Most stable: run A. Least stable: run B.